Si2AgAu (PBE, optimized geometry); ρ = 8.96 g/cm3; calculated total energy = -3.948 eV per atom; offset from the most stable computed form = 0.145 eV per atom; uncorrected formation energy = 0.296 eV per atom
1.0
1.8080 -2.2626 0.0000
1.8080 2.2626 0.0000
0.0000 0.0000 8.1737
Si Ag Au
2 1 1
direct
0.0000 0.0000 0.0000
0.5000 0.5000 0.2238
0.5000 0.5000 0.7488
0.0000 0.0000 0.4683